Entry 1:
Material: Ba2TeCl
Method: DFT, SCAN
State: single point on PBEsol structure

energy above the lowest structure with this stoichiometry = 26 meV/atom
ρ = 4.87 Mg/m³
uncorrected formation energy = -1.98 eV/atom
SG = P4/mmm (123)

Lattice parameters (Å, degrees): 4.7353 4.7353 6.6614 90.00 90.00 90.00
Sites, in units of the cell vectors:
Te 0.1253 0.1253 0.5000
Ba 0.1252 0.1252 0.0000
Ba 0.6253 0.6253 0.5000
Cl 0.6254 0.6254 0.0000

---

Entry 2:
Material: Sr2Pt
Method: DFT, SCAN
State: single point on PBEsol structure

ρ = 5.69 Mg/m³
ΔH_f (0 K) = -766 meV/atom
SG = Pnnm (58)

Lattice parameters (Å, degrees): 4.4085 6.9558 7.0438 90.00 90.00 90.00
Sites, in units of the cell vectors:
Sr 0.0000 0.2666 0.6678
Sr 0.0000 0.7334 0.3322
Sr 0.5000 0.7666 0.8322
Sr 0.5000 0.2334 0.1678
Pt 0.0000 0.0000 0.0000
Pt 0.5000 0.5000 0.5000

---

Entry 3:
Material: La2SiIr
Method: DFT, SCAN
State: single point on PBEsol structure

ρ = 9.08 Mg/m³
uncorrected formation energy = -0.55 eV/atom
SG = Pmmm (47)

Lattice parameters (Å, degrees): 3.5533 3.9094 6.5558 90.00 90.00 90.00
Sites, in units of the cell vectors:
Ir 0.5000 0.5000 0.5000
La 0.0000 0.0000 0.7459
La 0.0000 0.0000 0.2541
Si 0.5000 0.5000 0.0000